The following is a DFT calculation (GGA-PBE) of a geometry-optimized Li4MgAlAu2 structure.

abc: 4.459 4.459 6.267
angles: 90.00 90.00 90.00
Atoms (fractional coordinates):
Li 0.000 0.000 0.000
Li 0.000 0.500 0.744
Li 0.500 0.000 0.256
Li 0.500 0.500 0.500
Mg 0.500 0.500 0.000
Al 0.000 0.000 0.500
Au 0.000 0.500 0.268
Au 0.500 0.000 0.732

Calculated values
- ρ (g/cm3) = 6.303
- energy (eV/f.u.) = -23.3